Entry 1:
The following is a DFT calculation (PBE) of LiSnRu2 after structural relaxation.

a = 6.954 Å, b = 6.954 Å, c = 5.319 Å
α = 90.00°, β = 90.00°, γ = 90.00°
Space group I-42d (No. 122)
Unique sites:
Li1 0.000 0.000 0.000
Sn1 0.000 0.000 0.500
Ru1 0.226 0.250 0.125

The calculation puts the formation energy at 51.2 kJ per mole of atoms. For the total magnetic moment, the calculation gives 1.943 μB per formula unit.


Entry 2:
The following is a DFT calculation (PBE) of LiYCd2 after structural relaxation.

a = 3.5293 Å, b = 3.5293 Å, c = 27.4370 Å
α = 90.00°, β = 90.00°, γ = 120.00°
Space group R-3m (No. 166, hexagonal axes)
Unique sites:
Li1 0.0000 0.0000 0.0000
Y1 0.0000 0.0000 0.5000
Cd1 0.0000 0.0000 0.2584

The calculation puts the formation energy at -10.7 kJ per mole of atoms. For the total magnetic moment, the calculation gives 0.000 μB per formula unit.


Entry 3:
The following is a DFT calculation (PBE) of Cd2CoSnHg after structural relaxation.

a = 5.108 Å, b = 5.108 Å, c = 4.798 Å
α = 90.00°, β = 90.00°, γ = 90.00°
Space group P4/mmm (No. 123)
Unique sites:
Cd1 0.000 0.500 0.000
Co1 0.000 0.000 0.000
Sn1 0.000 0.000 0.500
Hg1 0.500 0.500 0.500

The calculation puts the formation energy at 15.2 kJ per mole of atoms. For the total magnetic moment, the calculation gives 0.000 μB per formula unit.


Entry 4:
The following is a DFT calculation (PBE) of Pm3Nd4Tm after structural relaxation.

a = 23.735 Å, b = 3.523 Å, c = 6.928 Å
α = 90.00°, β = 106.92°, γ = 90.00°
Space group C2/m (No. 12)
Unique sites:
Pm1 0.000 0.000 0.000
Pm2 0.123 0.000 0.384
Nd1 0.123 0.000 0.862
Nd2 0.242 0.500 0.740
Tm1 0.000 0.500 0.500

The calculation puts the formation energy at 14.6 kJ per mole of atoms. The value obtained for the energy above the most stable polymorph in this dataset is 138 meV/atom. For the total magnetic moment, the calculation gives 0.000 μB per formula unit.